Density functional theory data (GGA-PBE) for a relaxed Ca2CuH2 crystal.

POSCAR file:
```
Ca2CuH2
1.0
-2.8607 -1.3595 -1.9688
-1.9397 -0.4787 3.1490
-4.7386 4.8232 0.0227
H Ca Cu
2 2 1
direct
0.7500 0.2500 0.5000 H
0.2500 0.7500 0.5000 H
0.3548 0.3548 0.2905 Ca
0.6452 0.6452 0.7095 Ca
0.0000 0.0000 0.0000 Cu
```

For the density of states at the Fermi level, the calculation gives 0.463 states/eV/atom. Its total energy is -3.278 eV/atom. Its space-group type is I4/mmm (139).

=====

Density functional theory data (GGA-PBE) for a relaxed Dy3Ga3Ni2 crystal.

POSCAR file:
```
Dy3Ga3Ni2
1.0
5.4558 0.0000 0.0000
0.0000 7.8723 0.0000
0.0000 0.0000 14.6371
Dy Ga Ni
12 12 8
direct
0.1228 0.4582 0.3911 Dy
0.6228 0.0418 0.6089 Dy
0.8772 0.5418 0.8911 Dy
0.3772 0.9582 0.1089 Dy
0.8772 0.5418 0.6089 Dy
0.3772 0.9582 0.3911 Dy
0.1228 0.4582 0.1089 Dy
0.6228 0.0418 0.8911 Dy
0.6285 0.3141 0.2500 Dy
0.1285 0.1859 0.7500 Dy
0.3715 0.6859 0.7500 Dy
0.8715 0.8141 0.2500 Dy
0.1153 0.1617 0.2500 Ga
0.6153 0.3383 0.7500 Ga
0.8847 0.8383 0.7500 Ga
0.3847 0.6617 0.2500 Ga
0.6162 0.3143 0.4621 Ga
0.1162 0.1857 0.5379 Ga
0.3838 0.6857 0.9621 Ga
0.8838 0.8143 0.0379 Ga
0.3838 0.6857 0.5379 Ga
0.8838 0.8143 0.4621 Ga
0.6162 0.3143 0.0379 Ga
0.1162 0.1857 0.9621 Ga
0.8782 0.0984 0.3949 Ni
0.3782 0.4016 0.6051 Ni
0.1218 0.9016 0.8949 Ni
0.6218 0.5984 0.1051 Ni
0.1218 0.9016 0.6051 Ni
0.6218 0.5984 0.3949 Ni
0.8782 0.0984 0.1051 Ni
0.3782 0.4016 0.8949 Ni
```

For the density of states at the Fermi level, the calculation gives 0.792 states/eV/atom. The energy of formation comes out at -0.60 eV/atom. Its total energy is -4.910 eV/atom. Its space-group type is Pnma (62).

=====

Density functional theory data (GGA-PBE) for a relaxed TaInRh2 crystal.

POSCAR file:
```
TaInRh2
1.0
1.2325 -3.6333 -2.4543
1.7097 -3.6762 2.0749
-2.4476 -3.8345 0.2215
Ta In Rh
1 1 2
direct
0.2500 0.2500 0.2500 Ta
0.5000 0.5000 0.5000 In
0.0000 0.0000 0.0000 Rh
0.7500 0.7500 0.7500 Rh
```

For the density of states at the Fermi level, the calculation gives 1.179 states/eV/atom. The energy of formation comes out at 0.02 eV/atom. Its total energy is -7.308 eV/atom. Its space-group type is F-43m (216).

=====

Density functional theory data (GGA-PBE) for a relaxed Sm4IrAuBr2 crystal.

POSCAR file:
```
Sm4IrAuBr2
1.0
4.1697 0.0000 0.0000
0.0000 8.0598 -0.3925
0.0000 2.5971 6.8337
Sm Ir Au Br
4 1 1 2
direct
0.0000 0.7025 0.7435 Sm
0.0000 0.2975 0.2565 Sm
0.5000 0.6982 0.2750 Sm
0.5000 0.3018 0.7250 Sm
0.0000 0.5000 0.5000 Ir
0.5000 0.5000 0.0000 Au
0.0000 0.0000 0.0000 Br
0.5000 0.0000 0.5000 Br
```

For the density of states at the Fermi level, the calculation gives 0.828 states/eV/atom. Its total energy is -5.341 eV/atom. Its space-group type is P2/m (10).

=====

Density functional theory data (GGA-PBE) for a relaxed TaGaNi crystal.

POSCAR file:
```
TaGaNi
1.0
2.8777 0.0000 0.0000
0.0000 2.8777 0.0000
-1.4389 -1.4389 5.1988
Ni Ga Ta
1 1 1
direct
0.2946 0.2946 0.5891 Ni
0.9337 0.9337 0.8673 Ga
0.6218 0.6218 0.2436 Ta
```

For the density of states at the Fermi level, the calculation gives 0.418 states/eV/atom. The energy of formation comes out at -0.29 eV/atom. Its total energy is -7.176 eV/atom. Its space-group type is I4mm (107).

=====

Density functional theory data (GGA-PBE) for a relaxed ZrAlTc2 crystal.

POSCAR file:
```
ZrAlTc2
1.0
3.0141 0.0000 0.0000
0.0000 3.0141 0.0000
0.0000 0.0000 7.3204
Tc Zr Al
2 1 1
direct
0.0000 0.0000 0.0078 Tc
0.5000 0.5000 0.2082 Tc
0.0000 0.0000 0.4961 Zr
0.5000 0.5000 0.7879 Al
```

For the density of states at the Fermi level, the calculation gives 0.561 states/eV/atom. The energy of formation comes out at -0.27 eV/atom. Its total energy is -8.530 eV/atom. Its space-group type is P4mm (99).

=====

Density functional theory data (GGA-PBE) for a relaxed LiAlAg2 crystal.

POSCAR file:
```
LiAlAg2
1.0
-0.2618 1.1716 3.0016
-3.1862 0.3549 -0.4163
-0.9229 -5.7482 2.1633
Ag Al Li
2 1 1
direct
0.0000 0.0000 0.9703 Ag
0.5000 0.5000 0.2685 Ag
0.0000 0.0000 0.5066 Al
0.5000 0.5000 0.7545 Li
```

For the density of states at the Fermi level, the calculation gives 0.144 states/eV/atom. The energy of formation comes out at -0.13 eV/atom. Its total energy is -2.971 eV/atom. Its space-group type is P4mm (99).

=====

Density functional theory data (GGA-PBE) for a relaxed Y11Ga9Ni4 crystal.

POSCAR file:
```
Y11Ga9Ni4
1.0
3.5759 0.0000 0.0000
0.0000 11.4696 -4.8490
0.0000 0.0484 12.4524
Y Ga Ni
11 9 4
direct
0.0000 0.5878 0.9292 Y
0.0000 0.4122 0.0708 Y
0.0000 0.9292 0.5878 Y
0.0000 0.0708 0.4122 Y
0.0000 0.6262 0.3738 Y
0.0000 0.3738 0.6262 Y
0.0000 0.8338 0.1662 Y
0.0000 0.1662 0.8338 Y
0.0000 0.0000 0.0000 Y
0.0000 0.6916 0.6916 Y
0.0000 0.3084 0.3084 Y
0.5000 0.6294 0.1654 Ga
0.5000 0.3706 0.8346 Ga
0.5000 0.1654 0.6294 Ga
0.5000 0.8346 0.3706 Ga
0.5000 0.7817 0.9214 Ga
0.5000 0.2183 0.0786 Ga
0.5000 0.9214 0.7817 Ga
0.5000 0.0786 0.2183 Ga
0.5000 0.5000 0.5000 Ga
0.5000 0.5526 0.7569 Ni
0.5000 0.4474 0.2431 Ni
0.5000 0.7569 0.5526 Ni
0.5000 0.2431 0.4474 Ni
```

For the density of states at the Fermi level, the calculation gives 0.647 states/eV/atom. The energy of formation comes out at -0.59 eV/atom. Its total energy is -5.656 eV/atom. Its space-group type is Cmmm (65).

=====

Density functional theory data (GGA-PBE) for a relaxed La2Bi4Rh crystal.

POSCAR file:
```
La2Bi4Rh
1.0
5.3148 0.0000 0.0000
0.0000 5.3148 0.0000
2.6574 2.6574 8.1715
Rh Bi La
1 4 2
direct
0.0000 0.0000 0.0000 Rh
0.1676 0.1676 0.6647 Bi
0.8324 0.8324 0.3353 Bi
0.0000 0.5000 0.0000 Bi
0.5000 0.0000 0.0000 Bi
0.3665 0.3665 0.2669 La
0.6335 0.6335 0.7331 La
```

For the density of states at the Fermi level, the calculation gives 0.929 states/eV/atom. The energy of formation comes out at -0.37 eV/atom. Its total energy is -5.046 eV/atom. Its space-group type is I4/mmm (139).

=====

Density functional theory data (GGA-PBE) for a relaxed ZrRuSe2 crystal.

POSCAR file:
```
ZrRuSe2
1.0
3.6202 0.0000 0.0000
0.0000 3.2803 -0.2307
0.0000 0.4575 6.2957
Ru Se Zr
1 2 1
direct
0.5000 0.7500 0.7500 Ru
0.0000 0.7509 0.0111 Se
0.0000 0.7491 0.4889 Se
0.5000 0.2500 0.2500 Zr
```

For the density of states at the Fermi level, the calculation gives 0.662 states/eV/atom. Its total energy is -6.618 eV/atom. Its space-group type is P2/m (10).

=====

Density functional theory data (GGA-PBE) for a relaxed CaYRe2 crystal.

POSCAR file:
```
CaYRe2
1.0
2.8791 -0.0079 0.0000
-0.8734 2.7434 0.0000
0.0000 0.0000 9.8425
Y Re Ca
1 2 1
direct
0.5000 0.5000 0.2500 Y
0.0000 0.0000 0.0043 Re
0.0000 0.0000 0.4957 Re
0.5000 0.5000 0.7500 Ca
```

For the density of states at the Fermi level, the calculation gives 0.923 states/eV/atom. The energy of formation comes out at 0.70 eV/atom. Its total energy is -7.639 eV/atom. Its space-group type is Cmmm (65).

=====

Density functional theory data (GGA-PBE) for a relaxed TbRuC2 crystal.

POSCAR file:
```
TbRuC2
1.0
-2.8356 1.1675 -1.2352
-1.5089 -1.5974 -2.4700
-4.1417 -2.9940 2.2539
Ru C Tb
1 2 1
direct
0.0000 0.0000 0.0000 Ru
0.2664 0.2664 0.2009 C
0.7336 0.7336 0.7991 C
0.5000 0.5000 0.5000 Tb
```

For the density of states at the Fermi level, the calculation gives 0.371 states/eV/atom. The energy of formation comes out at 0.24 eV/atom. Its total energy is -7.846 eV/atom. Its space-group type is R-3m (166).